1.
VASP calculation (PBE) on PuGaCu2 after structural relaxation.

Cell lengths 5.5565, 5.5565, 6.2076 Å; angles 90.00, 90.00, 133.62 degrees
Element x y z (fractional)
Pu (0.0794, 0.9206, 0.7500)
Pu (0.9206, 0.0794, 0.2500)
Ga (0.2105, 0.7895, 0.2500)
Ga (0.7895, 0.2105, 0.7500)
Cu (0.3777, 0.6223, 0.5564)
Cu (0.3777, 0.6223, 0.9436)
Cu (0.6223, 0.3777, 0.0564)
Cu (0.6223, 0.3777, 0.4436)

Output
* magnetization: 10.771 μB/cell
* energy relative to the elements: -0.129 eV/atom



2.
VASP calculation (PBE) on Ba3Tl6InSn2 after structural relaxation.

Cell lengths 6.5053, 6.5053, 11.6072 Å; angles 90.00, 90.00, 120.00 degrees
Element x y z (fractional)
Ba (0.0000, 0.0000, 0.0000)
Ba (0.3333, 0.6667, 0.5748)
Ba (0.6667, 0.3333, 0.4252)
Tl (0.1689, 0.3379, 0.2683)
Tl (0.1689, 0.8311, 0.2683)
Tl (0.3379, 0.1689, 0.7317)
Tl (0.6621, 0.8311, 0.2683)
Tl (0.8311, 0.1689, 0.7317)
Tl (0.8311, 0.6621, 0.7317)
In (0.0000, 0.0000, 0.5000)
Sn (0.3333, 0.6667, 0.0368)
Sn (0.6667, 0.3333, 0.9632)

Output
* magnetization: 0.000 μB/cell
* energy relative to the elements: -0.158 eV/atom



3.
VASP calculation (PBE) on Eu3Mg after structural relaxation.

Cell lengths 5.2840, 5.2840, 5.2840 Å; angles 90.00, 90.00, 90.00 degrees
Element x y z (fractional)
Eu (0.0000, 0.0000, 0.5000)
Eu (0.0000, 0.5000, 0.0000)
Eu (0.5000, 0.0000, 0.0000)
Mg (0.5000, 0.5000, 0.5000)

Output
* magnetization: 22.980 μB/cell
* energy relative to the elements: -0.001 eV/atom



4.
VASP calculation (PBE) on Ce4AlIn after structural relaxation.

Cell lengths 6.0119, 6.0119, 6.0119 Å; angles 127.08, 120.06, 84.03 degrees
Element x y z (fractional)
Ce (0.0891, 0.8444, 0.2447)
Ce (0.4002, 0.1556, 0.2447)
Ce (0.5998, 0.8444, 0.7553)
Ce (0.9109, 0.1556, 0.7553)
Al (0.0000, 0.5000, 0.5000)
In (0.5000, 0.5000, 0.0000)

Output
* magnetization: 1.210 μB/cell
* energy relative to the elements: -0.213 eV/atom



5.
VASP calculation (PBE) on Cs2Tl5Sb3 after structural relaxation.

Cell lengths 11.0348, 11.0348, 11.0348 Å; angles 104.46, 88.42, 141.07 degrees
Element x y z (fractional)
Cs (0.1230, 0.2429, 0.3658)
Cs (0.3770, 0.7429, 0.1199)
Cs (0.6230, 0.2571, 0.8801)
Cs (0.8770, 0.7571, 0.6342)
Tl (0.0131, 0.7500, 0.2631)
Tl (0.1231, 0.8761, 0.9992)
Tl (0.2500, 0.7500, 0.5000)
Tl (0.3769, 0.3761, 0.7530)
Tl (0.4869, 0.7500, 0.7369)
Tl (0.5131, 0.2500, 0.2631)
Tl (0.6231, 0.6239, 0.2470)
Tl (0.7500, 0.2500, 0.5000)
Tl (0.8769, 0.1239, 0.0008)
Tl (0.9869, 0.2500, 0.7369)
Sb (0.1138, 0.6293, 0.7431)
Sb (0.2500, 0.2500, 0.0000)
Sb (0.3862, 0.1293, 0.5155)
Sb (0.6138, 0.8707, 0.4845)
Sb (0.7500, 0.7500, 0.0000)
Sb (0.8862, 0.3707, 0.2569)

Output
* magnetization: 0.000 μB/cell
* formation energy from raw total energies: -0.17 eV per atom



6.
VASP calculation (PBE) on SrAcBiTe after structural relaxation.

Cell lengths 5.8476, 5.8476, 5.8476 Å; angles 60.00, 60.00, 60.00 degrees
Element x y z (fractional)
Sr (0.0000, 0.0000, 0.0000)
Ac (0.5000, 0.5000, 0.5000)
Bi (0.2500, 0.2500, 0.2500)
Te (0.7500, 0.7500, 0.7500)

Output
* magnetization: 0.000 μB/cell
* formation energy from raw total energies: -1.11 eV per atom



7.
VASP calculation (PBE) on TbLu2Pu after structural relaxation.

Cell lengths 3.4603, 3.4603, 9.8162 Å; angles 90.00, 90.00, 90.00 degrees
Element x y z (fractional)
Tb (0.0000, 0.0000, 0.0000)
Lu (0.5000, 0.5000, 0.2560)
Lu (0.5000, 0.5000, 0.7440)
Pu (0.0000, 0.0000, 0.5000)

Output
* magnetization: 6.444 μB/cell
* energy relative to the elements: 0.089 eV/atom



8.
VASP calculation (PBE) on Mg2CuAs2Rh after structural relaxation.

Cell lengths 7.4220, 7.4220, 7.4220 Å; angles 134.53, 66.48, 134.25 degrees
Element x y z (fractional)
Mg (0.1572, 0.2413, 0.3985)
Mg (0.3428, 0.7413, 0.0841)
Mg (0.6572, 0.2587, 0.9159)
Mg (0.8428, 0.7587, 0.6015)
Cu (0.2500, 0.7500, 0.5000)
Cu (0.7500, 0.2500, 0.5000)
As (0.1258, 0.7408, 0.8666)
As (0.3742, 0.2408, 0.6150)
As (0.6258, 0.7592, 0.3850)
As (0.8742, 0.2592, 0.1334)
Rh (0.2500, 0.2500, 0.0000)
Rh (0.7500, 0.7500, 0.0000)

Output
* magnetization: 0.000 μB/cell
* energy relative to the elements: -0.443 eV/atom



9.
VASP calculation (PBE) on Zr3Al2O after structural relaxation.

Cell lengths 7.4019, 7.4019, 7.4019 Å; angles 90.00, 90.00, 90.00 degrees
Element x y z (fractional)
Zr (0.0443, 0.1250, 0.7943)
Zr (0.1250, 0.7943, 0.0443)
Zr (0.2057, 0.5443, 0.3750)
Zr (0.2943, 0.4557, 0.8750)
Zr (0.3750, 0.2057, 0.5443)
Zr (0.4557, 0.8750, 0.2943)
Zr (0.5443, 0.3750, 0.2057)
Zr (0.6250, 0.7057, 0.9557)
Zr (0.7057, 0.9557, 0.6250)
Zr (0.7943, 0.0443, 0.1250)
Zr (0.8750, 0.2943, 0.4557)
Zr (0.9557, 0.6250, 0.7057)
Al (0.0716, 0.9284, 0.4284)
Al (0.1784, 0.1784, 0.1784)
Al (0.3216, 0.8216, 0.6784)
Al (0.4284, 0.0716, 0.9284)
Al (0.5716, 0.5716, 0.5716)
Al (0.6784, 0.3216, 0.8216)
Al (0.8216, 0.6784, 0.3216)
Al (0.9284, 0.4284, 0.0716)
O (0.1250, 0.3750, 0.6250)
O (0.3750, 0.6250, 0.1250)
O (0.6250, 0.1250, 0.3750)
O (0.8750, 0.8750, 0.8750)

Output
* magnetization: 0.000 μB/cell
* formation energy from raw total energies: -1.20 eV per atom



10.
VASP calculation (PBE) on InOs2Se after structural relaxation.

Cell lengths 3.1167, 3.1167, 6.6683 Å; angles 90.00, 90.00, 90.00 degrees
Element x y z (fractional)
In (0.0000, 0.0000, 0.0000)
Os (0.5000, 0.5000, 0.2766)
Os (0.5000, 0.5000, 0.7234)
Se (0.0000, 0.0000, 0.5000)

Output
* magnetization: 0.000 μB/cell
* formation energy from raw total energies: 0.68 eV per atom



11.
VASP calculation (PBE) on Tb2CeIr after structural relaxation.

Cell lengths 9.4647, 9.4647, 9.4647 Å; angles 24.03, 24.03, 24.03 degrees
Element x y z (fractional)
Tb (0.0000, 0.0000, 0.0000)
Tb (0.2205, 0.2205, 0.2205)
Ce (0.4455, 0.4455, 0.4455)
Ir (0.6101, 0.6101, 0.6101)

Output
* magnetization: 1.800 μB/cell
* energy relative to the elements: -0.251 eV/atom



12.
VASP calculation (PBE) on BeRu4 after structural relaxation.

Cell lengths 4.0566, 4.0566, 4.0566 Å; angles 90.00, 90.00, 90.00 degrees
Element x y z (fractional)
Be (0.0000, 0.0000, 0.0000)
Ru (0.0000, 0.0000, 0.5000)
Ru (0.0000, 0.5000, 0.0000)
Ru (0.5000, 0.0000, 0.0000)
Ru (0.5000, 0.5000, 0.5000)

Output
* magnetization: 0.000 μB/cell
* energy relative to the elements: 0.571 eV/atom